Record 1
Density functional theory data (PBE) for a relaxed PmEuDy crystal.

The value obtained for the volume is 106 Å³/f.u. Its formation enthalpy at 0 K is 46 meV/atom.

It has space group I4mm (No. 107), with a = 3.685 Å, b = 3.685 Å, c = 15.582 Å, α = 90.00°, β = 90.00° and γ = 90.00°. The asymmetric unit holds Pm at (0.000, 0.000, 0.000), Eu at (0.000, 0.000, 0.676) and Dy at (0.000, 0.000, 0.349).


Record 2
Density functional theory data (PBE) for a relaxed Mg2ZnPd6 crystal.

The value obtained for the volume is 158 Å³/f.u. Its formation enthalpy at 0 K is -216 meV/atom.

It has space group C2/m (No. 12), with a = 13.107 Å, b = 6.093 Å, c = 4.180 Å, α = 90.00°, β = 108.52° and γ = 90.00°. The asymmetric unit holds Mg at (0.164, 0.000, 0.164), Zn at (0.000, 0.500, 0.500), Pd at (0.000, 0.261, 0.000) and Pd at (0.165, 0.254, 0.665).


Record 3
Density functional theory data (PBE) for a relaxed LiNiSe2 crystal.

The value obtained for the volume is 70 Å³/f.u. The formation energy (no corrections) comes out at -0.5322 eV/atom.

It has space group C2/m (No. 12), with a = 6.232 Å, b = 3.602 Å, c = 6.556 Å, α = 90.00°, β = 108.62° and γ = 90.00°. The asymmetric unit holds Li at (0.000, 0.000, 0.000), Ni at (0.000, 0.500, 0.500) and Se at (0.237, 0.000, 0.710).